Ir4Rh at its PBEsol-relaxed geometry. Source: the Alexandria database, functional SCAN.

Calculated values
As for the total energy: -63.65 eV/atom. As for the total magnetization: 0.0 μB/cell.

Cell lengths 6.0388, 6.0388, 3.8182 Å; angles 90.00, 90.00, 90.00 degrees
Last column: nearest neighbours and their distance in Å.
Space group I4/m (No. 87)
Symmetry-distinct sites (fractional):
Ir 0.0992 0.2999 0.0000 (multiplicity 8)  9 Ir 2.70-2.71, 3 Rh 2.70-2.71
Rh 0.0000 0.0000 0.5000 (multiplicity 2)  12 Ir 2.70-2.71

---

K2Sb at its PBEsol-relaxed geometry. Source: the Alexandria database, functional SCAN.

Calculated values
For the formation energy (no corrections), the calculation gives -0.44 eV/atom. As for the total magnetization: 0.0 μB/cell. As for the energy above the most stable polymorph in this dataset: 68.8 meV/atom.

Cell lengths 3.6171, 5.3870, 10.6177 Å; angles 90.00, 90.00, 90.00 degrees
Last column: nearest neighbours and their distance in Å.
Space group Immm (No. 71)
Symmetry-distinct sites (fractional):
K 0.0000 0.0000 0.1554 (multiplicity 4)  3 K 3.30-3.62, 5 Sb 3.64-3.66
Sb 0.0000 0.0000 0.5000 (multiplicity 2)  2 Sb 3.62, 10 K 3.64-3.66

---

MgBeSi2 at its PBEsol-relaxed geometry. Source: the Alexandria database, functional SCAN.

Calculated values
For the formation energy (no corrections), the calculation gives 0.38 eV/atom. As for the total magnetization: 0.0 μB/cell. As for the energy above the most stable polymorph in this dataset: 0.0 meV/atom.

Cell lengths 2.9478, 3.3318, 5.8877 Å; angles 90.00, 90.00, 90.00 degrees
Last column: nearest neighbours and their distance in Å.
Space group Pmm2 (No. 25)
Symmetry-distinct sites (fractional):
Mg 0.0000 0.0000 0.0000 (multiplicity 1)  5 Si 2.76-2.85, 4 Be 2.85, 2 Mg 2.95
Be 0.5000 0.5000 0.6962 (multiplicity 1)  5 Si 2.32-2.43
Si 0.0000 0.0000 0.5321 (multiplicity 1)  4 Be 2.43, 4 Si 2.60
Si 0.5000 0.5000 0.3023 (multiplicity 1)  1 Be 2.32

---

Ba2SmCu4O8 at its PBEsol-relaxed geometry. Source: the Alexandria database, functional SCAN.

Calculated values
For the formation energy (no corrections), the calculation gives -1.89 eV/atom. As for the total magnetization: 0.0 μB/cell.

Cell lengths 3.8595, 26.9572, 3.8622 Å; angles 90.00, 90.00, 90.00 degrees
Last column: nearest neighbours and their distance in Å.
Space group Cmmm (No. 65)
Symmetry-distinct sites (fractional):
Ba 0.0000 0.1364 0.0000 (multiplicity 4)  10 O 2.74-2.94
Sm 0.0000 0.0000 0.0000 (multiplicity 2)  8 O 2.42-2.43
Cu 0.0000 0.2874 0.5000 (multiplicity 4)  4 O 1.82-1.94
Cu 0.0000 0.4362 0.5000 (multiplicity 4)  4 O 1.95
O 0.0000 0.0544 0.5000 (multiplicity 4)  2 Cu 1.95
O 0.0000 0.2180 0.5000 (multiplicity 4)  3 Cu 1.87-1.94
O 0.0000 0.3551 0.5000 (multiplicity 4)  1 Cu 1.82
O 0.0000 0.4452 0.0000 (multiplicity 4)  2 Cu 1.95

---

MnBe2Ru at its PBEsol-relaxed geometry. Source: the Alexandria database, functional SCAN.

Calculated values
As for the total energy: -15.86 eV/atom. As for the total magnetization: 14.5 μB/cell.

Cell lengths 5.4663, 5.4663, 5.4663 Å; angles 90.00, 90.00, 90.00 degrees
Last column: nearest neighbours and their distance in Å.
Space group Fm-3m (No. 225)
Symmetry-distinct sites (fractional):
Mn 0.0000 0.0000 0.0000 (multiplicity 4)  8 Be 2.37
Be 0.2500 0.2500 0.2500 (multiplicity 8)  4 Mn 2.37, 4 Ru 2.37
Ru 0.0000 0.0000 0.5000 (multiplicity 4)  8 Be 2.37

---

YGe3B at its PBEsol-relaxed geometry. Source: the Alexandria database, functional SCAN.

Calculated values
As for the total energy: -18.23 eV/atom. As for the total magnetization: 0.0 μB/cell.

Cell lengths 4.4646, 4.4646, 4.4646 Å; angles 90.00, 90.00, 90.00 degrees
Last column: nearest neighbours and their distance in Å.
Space group Pm-3m (No. 221)
Symmetry-distinct sites (fractional):
Y 0.0000 0.0000 0.0000 (multiplicity 1)  12 Ge 3.16
Ge 0.0000 0.5000 0.5000 (multiplicity 3)  2 B 2.23
B 0.5000 0.5000 0.5000 (multiplicity 1)  6 Ge 2.23

---

CsNbNi2Au at its PBEsol-relaxed geometry. Source: the Alexandria database, functional SCAN.

Calculated values
As for the total energy: -33.55 eV/atom. As for the total magnetization: 0.0 μB/cell.

Cell lengths 4.7352, 4.7352, 5.3180 Å; angles 90.00, 90.00, 90.00 degrees
Last column: nearest neighbours and their distance in Å.
Space group P4/mmm (No. 123)
Symmetry-distinct sites (fractional):
Cs 0.0000 0.0000 0.0000 (multiplicity 1)  4 Au 3.35, 8 Ni 3.56
Nb 0.5000 0.5000 0.5000 (multiplicity 1)  4 Ni 2.37
Ni 0.0000 0.5000 0.5000 (multiplicity 2)  2 Nb 2.37
Au 0.5000 0.5000 0.0000 (multiplicity 1)  2 Nb 2.66

---

KHgW2 at its PBEsol-relaxed geometry. Source: the Alexandria database, functional SCAN.

Calculated values
As for the total energy: -52.56 eV/atom. As for the total magnetization: 0.0 μB/cell.

Cell lengths 5.7394, 11.1055, 2.6931 Å; angles 90.00, 114.31, 90.00 degrees
Last column: nearest neighbours and their distance in Å.
Space group C2/m (No. 12)
Symmetry-distinct sites (fractional):
K 0.0000 0.0000 0.0000 (multiplicity 2)  2 K 2.69, 2 Hg 2.87
Hg 0.0000 0.5000 0.0000 (multiplicity 2)  2 Hg 2.69, 2 K 2.87
W 0.2500 0.2500 0.5000 (multiplicity 4)  4 W 2.69-2.87